Record 1
Entry from Alexandria: a relaxed Zr2Bi2Au crystal (PBE).

Summary:
ρ in kg/m3: 10670
Electronic total energy in eV/atom: -5.70
Formation enthalpy at 0 K in eV/atom: -0.073
Crystal system: tetragonal

abc: 8.0298 8.0298 3.8492
angles: 90.00 90.00 90.00
With the nearest neighbours (Å) after each atom.
Space group P4/mbm (No. 127)
Unique sites:
Zr (0.1429, 0.3571, 0.0000) (multiplicity 4)  6 Bi 3.00-3.07, 1 Zr 3.25
Bi (0.1549, 0.6549, 0.5000) (multiplicity 4)  6 Zr 3.00-3.07, 2 Au 3.04
Au (0.0000, 0.0000, 0.5000) (multiplicity 2)  4 Bi 3.04


Record 2
Entry from Alexandria: a relaxed Zr6Bi3Au crystal (PBE).

Summary:
ρ in kg/m3: 9107
Electronic total energy in eV/atom: -6.74
Formation enthalpy at 0 K in eV/atom: -0.124
Crystal system: orthorhombic

abc: 9.1007 14.8249 7.4126
angles: 90.00 90.00 90.00
With the nearest neighbours (Å) after each atom.
Space group Cmc2_1 (No. 36)
Unique sites:
Zr (0.0000, 0.0200, 0.0000) (multiplicity 4)  1 Au 2.86, 4 Bi 3.07-3.08
Zr (0.0000, 0.2523, 0.0791) (multiplicity 4)  1 Au 2.80, 2 Zr 3.05
Zr (0.1758, 0.2769, 0.4932) (multiplicity 8)  3 Bi 2.95-3.03, 1 Au 2.96, 3 Zr 3.05-3.20
Zr (0.2136, 0.4178, 0.1721) (multiplicity 8)  1 Au 2.93, 4 Bi 3.00-3.12, 3 Zr 3.19-3.27
Bi (0.0000, 0.4502, 0.4942) (multiplicity 4)  6 Zr 3.03-3.12
Bi (0.1997, 0.1075, 0.2856) (multiplicity 8)  7 Zr 2.95-3.20
Au (0.0000, 0.1646, 0.7437) (multiplicity 4)  6 Zr 2.80-2.96


Record 3
Entry from Alexandria: a relaxed ZrBiAu2 crystal (PBE).

Summary:
ρ in kg/m3: 12365
Electronic total energy in eV/atom: -4.88
Formation enthalpy at 0 K in eV/atom: -0.137
Crystal system: tetragonal

abc: 7.8997 7.8997 5.9748
angles: 90.00 90.00 90.00
With the nearest neighbours (Å) after each atom.
Space group I-42d (No. 122)
Unique sites:
Zr (0.0000, 0.0000, 0.0000) (multiplicity 4)  4 Au 2.85, 2 Bi 2.99
Bi (0.0000, 0.0000, 0.5000) (multiplicity 4)  4 Au 2.94, 2 Zr 2.99
Au (0.2417, 0.2500, 0.1250) (multiplicity 8)  2 Zr 2.85, 2 Bi 2.94, 2 Au 2.99


Record 4
Entry from Alexandria: a relaxed ZrBi2Au crystal (PBE).

Summary:
ρ in kg/m3: 10781
Electronic total energy in eV/atom: -4.56
Formation enthalpy at 0 K in eV/atom: 0.333
Crystal system: trigonal

abc: 3.4544 3.4544 31.5755
angles: 90.00 90.00 120.00
With the nearest neighbours (Å) after each atom.
Space group R-3m (No. 166, hexagonal axes)
Unique sites:
Zr (0.0000, 0.0000, 0.0000) (multiplicity 3)  2 Bi 3.01
Bi (0.0000, 0.0000, 0.0953) (multiplicity 6)  3 Au 3.01, 1 Zr 3.01
Au (0.0000, 0.0000, 0.5000) (multiplicity 3)  6 Bi 3.01


Record 5
Entry from Alexandria: a relaxed ZrBiAu2 crystal (PBE).

Summary:
ρ in kg/m3: 12881
Electronic total energy in eV/atom: -5.07
Formation enthalpy at 0 K in eV/atom: -0.319
Crystal system: tetragonal

abc: 3.3595 3.3595 7.9287
angles: 90.00 90.00 90.00
With the nearest neighbours (Å) after each atom.
Space group P4/mmm (No. 123)
Unique sites:
Zr (0.0000, 0.0000, 0.0000) (multiplicity 1)  8 Au 2.96
Bi (0.0000, 0.0000, 0.5000) (multiplicity 1)  8 Au 3.24, 4 Bi 3.36
Au (0.5000, 0.5000, 0.2221) (multiplicity 2)  4 Zr 2.96, 4 Bi 3.24


Record 6
Entry from Alexandria: a relaxed ZrBiAu2 crystal (PBE).

Summary:
ρ in kg/m3: 13507
Electronic total energy in eV/atom: -5.00
Formation enthalpy at 0 K in eV/atom: -0.258
Crystal system: tetragonal

abc: 4.3198 4.3198 4.5731
angles: 90.00 90.00 90.00
With the nearest neighbours (Å) after each atom.
Space group P4/mmm (No. 123)
Unique sites:
Zr (0.0000, 0.0000, 0.0000) (multiplicity 1)  4 Bi 3.05, 8 Au 3.15
Bi (0.5000, 0.5000, 0.0000) (multiplicity 1)  4 Zr 3.05, 8 Au 3.15
Au (0.0000, 0.5000, 0.5000) (multiplicity 2)  4 Au 3.05, 4 Zr 3.15, 4 Bi 3.15


Record 7
Entry from Alexandria: a relaxed Zr5BiAu crystal (PBE).

Summary:
ρ in kg/m3: 8919
Electronic total energy in eV/atom: -7.25
Formation enthalpy at 0 K in eV/atom: -0.123
Crystal system: monoclinic

abc: 10.9040 10.5292 5.8129
angles: 90.00 105.86 90.00
With the nearest neighbours (Å) after each atom.
Space group C2/c (No. 15)
Unique sites:
Zr (0.0000, 0.2337, 0.2500) (multiplicity 4)  3 Bi 3.13-3.41, 2 Au 3.16, 8 Zr 3.28-3.48
Zr (0.1495, 0.3020, 0.8063) (multiplicity 8)  5 Zr 2.89-3.17, 2 Au 2.93-3.05, 1 Bi 2.96
Zr (0.2491, 0.0669, 0.5967) (multiplicity 8)  5 Zr 3.00-3.23, 2 Au 3.02-3.16, 2 Bi 3.08-3.21
Bi (0.0000, 0.0635, 0.7500) (multiplicity 4)  7 Zr 2.96-3.21, 2 Bi 3.20
Au (0.0000, 0.5000, 0.0000) (multiplicity 4)  2 Au 2.91, 10 Zr 2.93-3.16


Record 8
Entry from Alexandria: a relaxed Zr2Bi2Au crystal (PBE).

Summary:
ρ in kg/m3: 10666
Electronic total energy in eV/atom: -5.90
Formation enthalpy at 0 K in eV/atom: -0.268
Crystal system: tetragonal

abc: 7.7861 7.7861 4.0955
angles: 90.00 90.00 90.00
With the nearest neighbours (Å) after each atom.
Space group P4/mbm (No. 127)
Unique sites:
Zr (0.1465, 0.3535, 0.0000) (multiplicity 4)  2 Au 2.98, 6 Bi 2.99-3.12, 1 Zr 3.23
Bi (0.1559, 0.6559, 0.5000) (multiplicity 4)  6 Zr 2.99-3.12
Au (0.0000, 0.0000, 0.0000) (multiplicity 2)  4 Zr 2.98